# 1
Material: InHg2Se
Method: DFT, PBE
State: relaxed Values from VASP.

Summary:
Crystal system: triclinic
E in eV per cell: -15.43

The structure in Quantum ESPRESSO input format:
```
&SYSTEM
  ibrav = 0, nat = 8, ntyp = 3
/
ATOMIC_SPECIES
Hg 200.59 Hg.upf
Se 78.96 Se.upf
In 114.82 In.upf
CELL_PARAMETERS angstrom
-1.877 3.624 -0.197
-6.716 -3.570 -2.191
-5.282 -0.067 6.691
ATOMIC_POSITIONS crystal
Hg 0.000 0.500 0.500
Hg 0.000 0.000 0.500
Hg 0.388 0.185 0.727
Hg 0.612 0.815 0.273
Se 0.710 0.267 0.083
Se 0.290 0.733 0.917
In 0.152 0.422 0.197
In 0.848 0.578 0.803
```

***

# 2
Material: InHg2Se2
Method: DFT, PBE
State: relaxed Values from VASP.

Summary:
Excess energy over the best structure of this formula in the dataset in meV/atom: 86
Crystal system: tetragonal
N(E_F) in states/eV/f.u.: 2.62
E in eV per cell: -20.33

The structure in Quantum ESPRESSO input format:
```
&SYSTEM
  ibrav = 0, nat = 10, ntyp = 3
/
ATOMIC_SPECIES
Hg 200.59 Hg.upf
In 114.82 In.upf
Se 78.96 Se.upf
CELL_PARAMETERS angstrom
8.259 0.000 0.000
0.000 8.259 0.000
0.000 0.000 3.911
ATOMIC_POSITIONS crystal
Hg 0.883 0.617 0.000
Hg 0.383 0.883 0.000
Hg 0.617 0.117 0.000
Hg 0.117 0.383 0.000
In 0.000 0.000 0.000
In 0.500 0.500 0.000
Se 0.283 0.217 0.500
Se 0.717 0.783 0.500
Se 0.783 0.283 0.500
Se 0.217 0.717 0.500
```

***

# 3
Material: In3Hg3Se
Method: DFT, PBE
State: relaxed Values from VASP.

Summary:
Crystal system: monoclinic
N(E_F) in states/eV/f.u.: 1.85
E in eV per cell: -26.15

The structure in Quantum ESPRESSO input format:
```
&SYSTEM
  ibrav = 0, nat = 14, ntyp = 3
/
ATOMIC_SPECIES
Hg 200.59 Hg.upf
In 114.82 In.upf
Se 78.96 Se.upf
CELL_PARAMETERS angstrom
8.414 1.137 -1.652
2.288 8.607 -4.945
-0.596 -1.894 6.920
ATOMIC_POSITIONS crystal
Hg 0.000 0.344 0.689
Hg 0.000 0.656 0.311
Hg 0.500 0.259 0.519
Hg 0.372 0.334 0.000
Hg 0.500 0.741 0.481
Hg 0.628 0.666 0.000
In 0.722 0.370 0.351
In 0.722 0.019 0.649
In 0.279 0.066 0.000
In 0.278 0.981 0.351
In 0.278 0.630 0.649
In 0.721 0.934 0.000
Se 0.937 0.251 0.000
Se 0.063 0.749 0.000
```

***

# 4
Material: InHg2Se
Method: DFT, PBE
State: relaxed Values from VASP.

Summary:
Crystal system: orthorhombic
N(E_F) in states/eV/f.u.: 1.64
E in eV per cell: -6.33

The structure in Quantum ESPRESSO input format:
```
&SYSTEM
  ibrav = 0, nat = 4, ntyp = 3
/
ATOMIC_SPECIES
Hg 200.59 Hg.upf
Se 78.96 Se.upf
In 114.82 In.upf
CELL_PARAMETERS angstrom
3.116 -0.001 0.000
-0.754 3.024 0.000
0.000 0.000 10.724
ATOMIC_POSITIONS crystal
Hg 0.000 0.000 0.992
Hg 0.000 0.000 0.508
Se 0.500 0.500 0.750
In 0.500 0.500 0.250
```

***

Number 1: E_form (uncorrected) -0.2222 eV/atom. Number 2: E_form (uncorrected) 0.0290 eV/atom. Number 3: E_form (uncorrected) -0.0669 eV/atom. Number 4: E_form (uncorrected) 0.1245 eV/atom.